Entry 1:
Computed, not measured: RuC after structural relaxation at the PBE level of DFT.

As for the relative energy among the computed polymorphs: 20.8 kJ/mol of atoms. As for the formation enthalpy at 0 K: 0.581 eV per atom.

It has space group P6_3/m (No. 176), with a = 7.3265 Å, b = 7.3265 Å, c = 3.5182 Å, α = 90.00°, β = 90.00° and γ = 120.00°. The distinct sites, in fractional coordinates, are Ru at (0.0271, 0.6539, 0.2500) and C at (0.1219, 0.4355, 0.2500).

=====

Entry 2:
Computed, not measured: Y2PtBr after structural relaxation at the PBE level of DFT.

As for the relative energy among the computed polymorphs: 38.4 kJ/mol of atoms. Its uncorrected formation energy is -0.848 eV per atom.

It has space group I-42d (No. 122), with a = 7.552 Å, b = 7.552 Å, c = 7.807 Å, α = 90.00°, β = 90.00° and γ = 90.00°. The distinct sites, in fractional coordinates, are Y at (0.228, 0.250, 0.125), Pt at (0.000, 0.000, 0.000) and Br at (0.000, 0.000, 0.500).

=====

Entry 3:
Computed, not measured: RbPbIO6 after structural relaxation at the PBE level of DFT.

Its uncorrected formation energy is -0.778 eV per atom.

It has space group P312 (No. 149), with a = 5.5487 Å, b = 5.5487 Å, c = 6.3411 Å, α = 90.00°, β = 90.00° and γ = 120.00°. The distinct sites, in fractional coordinates, are Rb at (0.0000, 0.0000, 0.0000), Pb at (0.3333, 0.6667, 0.5000), I at (0.6667, 0.3333, 0.5000) and O at (0.4011, 0.0393, 0.6783).

=====

Entry 4:
Computed, not measured: Li2MgAl2 after structural relaxation at the PBE level of DFT.

As for the relative energy among the computed polymorphs: 13.3 kJ/mol of atoms. As for the formation enthalpy at 0 K: 0.045 eV per atom.

It has space group I4/mmm (No. 139), with a = 3.751 Å, b = 3.751 Å, c = 13.555 Å, α = 90.00°, β = 90.00° and γ = 90.00°. The distinct sites, in fractional coordinates, are Li at (0.000, 0.500, 0.250), Mg at (0.000, 0.000, 0.000) and Al at (0.000, 0.000, 0.402).

=====

Entry 5:
Computed, not measured: PrSmCl6 after structural relaxation at the PBE level of DFT.

As for the relative energy among the computed polymorphs: 4.8 kJ/mol of atoms. Its uncorrected formation energy is -2.190 eV per atom.

It has space group C2/m (No. 12), with a = 7.063 Å, b = 12.242 Å, c = 7.463 Å, α = 90.00°, β = 95.09° and γ = 90.00°. The distinct sites, in fractional coordinates, are Pr at (0.000, 0.000, 0.000), Sm at (0.000, 0.000, 0.500), Cl at (0.145, 0.144, 0.268) and Cl at (0.210, 0.500, 0.232).

=====

Entry 6:
Computed, not measured: TmU2Tl3Te6 after structural relaxation at the PBE level of DFT.

Its uncorrected formation energy is -0.677 eV per atom.

It has space group C2/m (No. 12), with a = 7.654 Å, b = 13.254 Å, c = 8.668 Å, α = 90.00°, β = 107.12° and γ = 90.00°. The distinct sites, in fractional coordinates, are Tm at (0.000, 0.000, 0.000), U at (0.000, 0.334, 0.000), Tl at (0.000, 0.168, 0.500), Tl at (0.000, 0.500, 0.500), Te at (0.235, 0.164, 0.214) and Te at (0.244, 0.500, 0.215).

=====

Entry 7:
Computed, not measured: CaTb2In after structural relaxation at the PBE level of DFT.

As for the relative energy among the computed polymorphs: 6.4 kJ/mol of atoms. As for the formation enthalpy at 0 K: -0.145 eV per atom.

It has space group Fm-3m (No. 225), with a = 7.787 Å, b = 7.787 Å, c = 7.787 Å, α = 90.00°, β = 90.00° and γ = 90.00°. The distinct sites, in fractional coordinates, are Ca at (0.000, 0.000, 0.000), Tb at (0.250, 0.250, 0.250) and In at (0.000, 0.000, 0.500).

=====

Entry 8:
Computed, not measured: TaZn2Cd2 after structural relaxation at the PBE level of DFT.

As for the formation enthalpy at 0 K: 0.298 eV per atom.

It has space group P4/mbm (No. 127), with a = 7.692 Å, b = 7.692 Å, c = 3.015 Å, α = 90.00°, β = 90.00° and γ = 90.00°. The distinct sites, in fractional coordinates, are Ta at (0.000, 0.000, 0.000), Zn at (0.123, 0.377, 0.000) and Cd at (0.177, 0.677, 0.500).

=====

| no. | magnetization (μB/atom) |
| --- | --- |
| 1 | 0.0000 |
| 2 | 0.0000 |
| 3 | 0.0000 |
| 4 | 0.0000 |
| 5 | 0.0000 |
| 6 | 0.5001 |
| 7 | 0.0002 |
| 8 | 0.0000 |